Material: Sr2YPb
Method: DFT, PBE
State: optimized geometry

a = 6.4827 Å, b = 6.4827 Å, c = 6.4827 Å
α = 132.73°, β = 132.73°, γ = 69.09°
Closest atoms and distances in Å follow each position.
Sites, in units of the cell vectors:
Sr1 0.0000 0.0000 0.0000  4 Y 3.68, 4 Sr 3.73, 4 Pb 3.73
Pb1 0.7500 0.2500 0.5000  8 Sr 3.68-3.73, 4 Y 3.73
Y1 0.5000 0.5000 0.0000  8 Sr 3.68-3.73, 4 Pb 3.73
Sr2 0.2500 0.7500 0.5000  4 Pb 3.68, 4 Y 3.73, 4 Sr 3.73

Summary:
The space-group type is I-4m2 (119). The crystal system is tetragonal. The density of states at the Fermi level is 4.072 states/eV per cell. Its formation energy is -104 meV/atom.